[1]
{"formula": "Te2CCl", "functional": "GGA-PBE", "state": "relaxed", "cell": [[0.000, 3.433, 3.433], [3.433, 0.000, 3.433], [3.433, 3.433, 0.000]], "species": ["Te", "Te", "C", "Cl"], "frac_coords": [[0.250, 0.250, 0.250], [0.750, 0.750, 0.750], [0.000, 0.000, 0.000], [0.500, 0.500, 0.500]], "crystal_system": "cubic", "space_group": "Fm-3m", "dos_at_fermi_per_ev_cell": 2.4, "formation_energy_uncorrected_ev_per_atom": 1.56}



[2]
{"formula": "TeC2Cl", "functional": "GGA-PBE", "state": "relaxed", "cell": [[-2.970, 2.970, 4.156], [2.970, -2.970, 4.156], [2.970, 2.970, -4.156]], "species": ["Te", "Te", "C", "C", "C", "C", "Cl", "Cl"], "frac_coords": [[0.000, 0.000, 0.000], [0.750, 0.250, 0.500], [0.094, 0.625, 0.969], [0.375, 0.344, 0.469], [0.656, 0.125, 0.031], [0.875, 0.906, 0.531], [0.250, 0.750, 0.500], [0.500, 0.500, 0.000]], "crystal_system": "tetragonal", "space_group": "I-42d", "dos_at_fermi_per_ev_cell": 6.5, "formation_energy_uncorrected_ev_per_atom": 2.25}



[3]
{"formula": "TeC2Cl", "functional": "GGA-PBE", "state": "relaxed", "cell": [[0.000, 3.053, 3.053], [3.053, 0.000, 3.053], [3.053, 3.053, 0.000]], "species": ["Te", "C", "C", "Cl"], "frac_coords": [[0.000, 0.000, 0.000], [0.250, 0.250, 0.250], [0.750, 0.750, 0.750], [0.500, 0.500, 0.500]], "crystal_system": "cubic", "space_group": "Fm-3m", "dos_at_fermi_per_ev_cell": 2.1, "formation_energy_uncorrected_ev_per_atom": 2.63}